Li2MgZrCr, optimized geometry, DFT GGA-PBE; symmetry = No. 123; ΔE_f = 0.721 eV per atom
1.0
4.866 0.000 0.000
0.000 4.866 0.000
0.000 0.000 4.748
Li Mg Zr Cr
2 1 1 1
Direct
0.000 0.500 0.000
0.500 0.000 0.000
0.000 0.000 0.500
0.500 0.500 0.500
0.500 0.500 0.000